Compound: Tb3S2
Source: the Alexandria database
Functional: PBE
Structure: relaxed

abc: 6.727 6.727 7.442
angles: 63.13 63.13 60.00
Element x y z (fractional)
Tb: 0.750 0.420 0.750
Tb: 0.920 0.250 0.250
Tb: 0.080 0.750 0.750
Tb: 0.580 0.920 0.250
Tb: 0.250 0.580 0.250
Tb: 0.420 0.080 0.750
S: 0.337 0.337 0.989
S: 0.163 0.163 0.511
S: 0.663 0.663 0.011
S: 0.837 0.837 0.489

Computed properties:
Crystal system ... trigonal
Energy above the lowest structure with this stoichiometry ... 0.047 eV/atom

Compound: TbS8
Source: the Alexandria database
Functional: PBE
Structure: relaxed

abc: 4.322 7.715 7.715
angles: 85.50 73.73 73.73
Element x y z (fractional)
S: 0.000 0.598 0.402
S: 0.381 0.000 0.238
S: 0.619 0.762 0.000
S: 0.381 0.238 0.000
S: 0.000 0.402 0.598
S: 0.402 0.598 0.598
S: 0.598 0.402 0.402
S: 0.619 0.000 0.762
Tb: 0.000 0.000 0.000

Computed properties:
Crystal system ... tetragonal
DFT total energy ... -4.0111 eV/atom

Compound: TbS2
Source: the Alexandria database
Functional: PBE
Structure: relaxed

abc: 5.073 7.013 7.464
angles: 90.00 90.00 90.00
Element x y z (fractional)
Tb: 0.750 0.245 0.049
Tb: 0.250 0.245 0.451
Tb: 0.250 0.755 0.951
Tb: 0.750 0.755 0.549
S: 0.000 0.439 0.750
S: 0.500 0.439 0.750
S: 0.000 0.561 0.250
S: 0.750 0.893 0.894
S: 0.750 0.107 0.394
S: 0.250 0.107 0.106
S: 0.500 0.561 0.250
S: 0.250 0.893 0.606

Computed properties:
Crystal system ... orthorhombic
DFT total energy ... -5.9724 eV/atom

Compound: TbTcS2
Source: the Alexandria database
Functional: PBE
Structure: relaxed

abc: 3.586 3.586 8.312
angles: 77.54 77.54 60.00
Element x y z (fractional)
S: 0.112 0.112 0.663
S: 0.888 0.888 0.337
Tc: 0.500 0.500 0.500
Tb: 0.000 0.000 0.000

Computed properties:
Crystal system ... trigonal
DFT total energy ... -6.2341 eV/atom